[1]
Zn2CuTe: relaxed, PBE-GGA.

It has space group P4/mmm (No. 123), with a = 3.8626 Å, b = 3.8626 Å, c = 5.0465 Å, α = 90.00°, β = 90.00° and γ = 90.00°. The distinct sites, in fractional coordinates, are Zn at (0.0000, 0.5000, 0.0000), Cu at (0.0000, 0.0000, 0.5000) and Te at (0.5000, 0.5000, 0.5000).

For the total energy, the calculation gives -2.239 eV per atom. As for the distance to the lowest polymorph of the same formula: 188 meV per atom. The calculation puts the formation energy from raw total energies at 0.21 eV/atom. The value obtained for the size of the total moment is 0.00 μB/f.u.

***

[2]
BeCdPt3: relaxed, PBE-GGA.

It has space group P2_1/m (No. 11), with a = 4.2334 Å, b = 8.0295 Å, c = 5.4506 Å, α = 90.00°, β = 90.06° and γ = 90.00°. The distinct sites, in fractional coordinates, are Be at (0.2493, 0.2500, 0.2614), Cd at (0.2494, 0.7500, 0.1059), Pt at (0.2502, 0.0816, 0.6154) and Pt at (0.2506, 0.7500, 0.6174).

For the total energy, the calculation gives -4.617 eV per atom. As for the distance to the lowest polymorph of the same formula: 374 meV per atom. The value obtained for the size of the total moment is 0.00 μB/f.u. The calculation puts the formation energy at -0.0641 eV per atom.

***

> distance to the lowest polymorph of the same formula of number 2 (BeCdPt3)?

374 meV per atom

***

Please write out number 1 again, unchanged.
Zn2CuTe: relaxed, PBE-GGA.

It has space group P4/mmm (No. 123), with a = 3.8626 Å, b = 3.8626 Å, c = 5.0465 Å, α = 90.00°, β = 90.00° and γ = 90.00°. The distinct sites, in fractional coordinates, are Zn at (0.0000, 0.5000, 0.0000), Cu at (0.0000, 0.0000, 0.5000) and Te at (0.5000, 0.5000, 0.5000).

For the total energy, the calculation gives -2.239 eV per atom. As for the distance to the lowest polymorph of the same formula: 188 meV per atom. The calculation puts the formation energy from raw total energies at 0.21 eV/atom. The value obtained for the size of the total moment is 0.00 μB/f.u.

***

> The lowest distance to the lowest polymorph of the same formula belongs to which entry?

Zn2CuTe

***

Copy entry 2 word for word.
BeCdPt3: relaxed, PBE-GGA.

It has space group P2_1/m (No. 11), with a = 4.2334 Å, b = 8.0295 Å, c = 5.4506 Å, α = 90.00°, β = 90.06° and γ = 90.00°. The distinct sites, in fractional coordinates, are Be at (0.2493, 0.2500, 0.2614), Cd at (0.2494, 0.7500, 0.1059), Pt at (0.2502, 0.0816, 0.6154) and Pt at (0.2506, 0.7500, 0.6174).

For the total energy, the calculation gives -4.617 eV per atom. As for the distance to the lowest polymorph of the same formula: 374 meV per atom. The value obtained for the size of the total moment is 0.00 μB/f.u. The calculation puts the formation energy at -0.0641 eV per atom.